Density functional theory data (GGA-PBE) for an optimized crystal structure of Tc2PbCl.

POSCAR file:
```
Tc2PbCl
1.0
-2.2434 2.2434 3.6783
2.2434 -2.2434 3.6783
2.2434 2.2434 -3.6783
Tc Pb Cl
2 1 1
Cartesian
0.0000 0.0000 0.0000
0.0000 2.2434 1.8392
0.0000 0.0000 3.6783
2.2434 0.0000 1.8392
```

Results
- calculated total energy (Ry per atom) = -0.4102
- density (Mg/m³) = 9.84
- formation energy without anion corrections (eV/atom) = 0.990
- relative energy among the computed polymorphs (kJ/mol of formula units) = 365